Entry i
Here is a geometry-optimized IClF2 structure from the Alexandria database. Energies are from PBE.

The structure belongs to space group I-42d (No. 122); the cell edges are 4.520, 4.520 and 15.248 Å and the angles 90.00°, 90.00° and 90.00°. The distinct sites, in fractional coordinates, are I at (0.000, 0.000, 0.000), Cl at (0.000, 0.000, 0.500) and F at (0.087, 0.250, 0.125).

Its density of states at the Fermi level is 0.49 states/eV per atom. Its total magnetization is 0.00 μB per cell.


Entry ii
Here is a geometry-optimized IClF2 structure from the Alexandria database. Energies are from PBE.

The structure belongs to space group R-3m (No. 166, hexagonal axes); the cell edges are 3.2868, 3.2868 and 28.5526 Å and the angles 90.00°, 90.00° and 120.00°. The distinct sites, in fractional coordinates, are I at (0.0000, 0.0000, 0.0000), Cl at (0.0000, 0.0000, 0.5000) and F at (0.0000, 0.0000, 0.4380).

Its density of states at the Fermi level is 0.63 states/eV per atom. Its total magnetization is 2.15 μB per cell.


Taking the most stable structure as the zero point, the relative energies in eV/atom are entry i 0.000; entry ii 0.107.


Entry i
Here is a geometry-optimized IClF2 structure from the Alexandria database. Energies are from PBE.

The structure belongs to space group Fm-3m (No. 225); the cell edges are 6.308, 6.308 and 6.308 Å and the angles 90.00°, 90.00° and 90.00°. The distinct sites, in fractional coordinates, are I at (0.000, 0.000, 0.000), Cl at (0.000, 0.000, 0.500) and F at (0.250, 0.250, 0.250).

Its density of states at the Fermi level is 1.11 states/eV per atom. Its total magnetization is 3.03 μB per cell.


Entry ii
Here is a geometry-optimized IClF2 structure from the Alexandria database. Energies are from PBE.

The structure belongs to space group R-3m (No. 166, hexagonal axes); the cell edges are 3.4397, 3.4397 and 30.1144 Å and the angles 90.00°, 90.00° and 120.00°. The distinct sites, in fractional coordinates, are I at (0.0000, 0.0000, 0.0000), Cl at (0.0000, 0.0000, 0.5000) and F at (0.0000, 0.0000, 0.0658).

Its density of states at the Fermi level is 0.81 states/eV per atom. Its total magnetization is 3.23 μB per cell.


Taking the most stable structure as the zero point, the relative energies in eV/atom are entry i 0.418; entry ii 0.000.


Entry i
Here is a geometry-optimized P2IClF structure from the Alexandria database. Energies are from PBE.

The structure belongs to space group P4/mmm (No. 123); the cell edges are 4.295, 4.295 and 5.745 Å and the angles 90.00°, 90.00° and 90.00°. The distinct sites, in fractional coordinates, are P at (0.000, 0.500, 0.000), I at (0.000, 0.000, 0.500), Cl at (0.500, 0.500, 0.500) and F at (0.500, 0.500, 0.000).

Its density of states at the Fermi level is 0.94 states/eV per atom. Its total magnetization is 0.89 μB per cell.


Entry ii
Here is a geometry-optimized P2IClF structure from the Alexandria database. Energies are from PBE.

The structure belongs to space group P4/mmm (No. 123); the cell edges are 5.417, 5.417 and 5.307 Å and the angles 90.00°, 90.00° and 90.00°. The distinct sites, in fractional coordinates, are P at (0.000, 0.500, 0.000), I at (0.000, 0.000, 0.000), Cl at (0.000, 0.000, 0.500) and F at (0.500, 0.500, 0.500).

Its density of states at the Fermi level is 1.22 states/eV per atom. Its total magnetization is 3.46 μB per cell.


Taking the most stable structure as the zero point, the relative energies in eV/atom are entry i 0.000; entry ii 0.366.